# BiAu3I (PBE-GGA, relaxed)
data_BiAu3I
_chemical_formula_sum 'Bi1 Au3 I1'
_symmetry_space_group_name_H-M 'P 1'
_symmetry_Int_Tables_number 1
_cell_length_a 5.3384
_cell_length_b 5.3384
_cell_length_c 5.3384
_cell_angle_alpha 90.00
_cell_angle_beta 90.00
_cell_angle_gamma 90.00
loop_
_symmetry_equiv_pos_as_xyz
'x,y,z'
loop_
_atom_site_label
_atom_site_type_symbol
_atom_site_fract_x
_atom_site_fract_y
_atom_site_fract_z
Bi1 Bi 0.0000 0.0000 0.0000
Au1 Au 0.0000 0.5000 0.5000
Au2 Au 0.5000 0.0000 0.5000
Au3 Au 0.5000 0.5000 0.0000
I1 I 0.5000 0.5000 0.5000
# * VASP energy: -2.18 eV per atom
# * total magnetization: 0.00 μB/atom
# * energy above the most stable polymorph in this dataset: 7.49 kcal/mol of atoms
# * E_form (uncorrected): 878 meV/atom